Density functional theory data (PBE) for crystalline LiRe2GeIr at its relaxed geometry.

SG: P4/mmm
DFT formation energy in eV/atom: 1.349
DOS(E_F) in states/eV/cell: 6.3

Lattice parameters (Å, degrees): 4.169 4.157 4.169 90.00 90.00 90.00
Atoms (fractional coordinates):
Ir: 0.000 0.500 0.000
Ge: 0.500 0.500 0.500
Li: 0.000 0.000 0.000
Re: 0.000 0.000 0.500
Re: 0.500 0.000 0.000